Ag2PdAu5: optimized geometry, GGA-PBE.

- crystal system = orthorhombic
- E_tot (eV per atom) = -3.37
- DOS at the Fermi energy (states/eV/cell) = 3.262
- energy relative to the lowest polymorph listed for this composition (meV per atom) = 0.0
- size of the total moment (μB per cell) = 0.000
- symmetry = Cmcm
- energy relative to the elements (eV per formula unit) = 0.4

a b c (Å): 4.694 7.359 9.225
angles (deg): 90.00 90.00 108.60
Atoms (fractional coordinates):
1 Au 0.072 0.145 0.095
2 Au 0.928 0.855 0.905
3 Au 0.413 0.827 0.407
4 Au 0.587 0.173 0.907
5 Au 0.072 0.145 0.405
6 Au 0.587 0.173 0.593
7 Au 0.928 0.855 0.595
8 Au 0.403 0.807 0.750
9 Au 0.597 0.193 0.250
10 Au 0.413 0.827 0.093
11 Ag 0.769 0.538 0.087
12 Ag 0.231 0.462 0.913
13 Ag 0.769 0.538 0.413
14 Ag 0.231 0.462 0.587
15 Pd 0.243 0.486 0.250
16 Pd 0.757 0.514 0.750

***

PaPdAu4: optimized geometry, GGA-PBE.

- crystal system = cubic
- E_tot (eV per atom) = -4.90
- DOS at the Fermi energy (states/eV/cell) = 4.641
- energy relative to the lowest polymorph listed for this composition (meV per atom) = 46.8
- size of the total moment (μB per cell) = 0.000
- symmetry = F-43m
- energy relative to the elements (eV per formula unit) = -1.6

a b c (Å): 5.487 5.487 5.487
angles (deg): 60.00 60.00 60.00
Atoms (fractional coordinates):
1 Pd 0.250 0.250 0.250
2 Au 0.126 0.625 0.625
3 Au 0.625 0.625 0.126
4 Au 0.625 0.126 0.625
5 Au 0.625 0.625 0.625
6 Pa 0.000 0.000 0.000

***

Sr3B2O6: optimized geometry, GGA-PBE.

- crystal system = tetragonal
- E_tot (eV per atom) = -6.49
- DOS at the Fermi energy (states/eV/cell) = 0.065
- size of the total moment (μB per cell) = 0.000
- energy relative to the elements, uncorrected (eV/atom) = -2.111
- symmetry = I4/mmm

a b c (Å): 3.664 3.664 10.170
angles (deg): 100.38 100.38 90.00
Atoms (fractional coordinates):
1 O 0.687 0.687 0.374
2 O 0.313 0.313 0.626
3 O 0.091 0.591 0.182
4 O 0.591 0.091 0.182
5 O 0.909 0.409 0.818
6 O 0.409 0.909 0.818
7 Sr 0.000 0.000 0.000
8 Sr 0.823 0.823 0.647
9 Sr 0.177 0.177 0.353
10 B 0.384 0.384 0.768
11 B 0.616 0.616 0.232

***

TeIr3C: optimized geometry, GGA-PBE.

- crystal system = cubic
- E_tot (eV per atom) = -7.06
- DOS at the Fermi energy (states/eV/cell) = 9.271
- energy relative to the lowest polymorph listed for this composition (meV per atom) = 0.0
- size of the total moment (μB per cell) = 0.000
- energy relative to the elements, uncorrected (eV/atom) = 0.734
- symmetry = Pm-3m

a b c (Å): 4.225 4.225 4.225
angles (deg): 90.00 90.00 90.00
Atoms (fractional coordinates):
1 Te 0.500 0.500 0.500
2 C 0.000 0.000 0.000
3 Ir 0.000 0.000 0.500
4 Ir 0.000 0.500 0.000
5 Ir 0.500 0.000 0.000